Li3HoMg3: optimized geometry, PBE.

Spin magnetization: 0.00 μB/f.u.
Raw total energy: -0.0620 Ha/atom
Calculated formation energy: 470 meV/atom
D(E_F): 10.1 states/eV/cell

Lattice parameters (Å, degrees): 7.019 7.019 7.019 90.00 90.00 90.00
Sites, in units of the cell vectors:
Li  0.000  0.250  0.500
Li  0.000  0.750  0.500
Li  0.250  0.500  0.000
Li  0.500  0.000  0.250
Li  0.500  0.000  0.750
Li  0.750  0.500  0.000
Ho  0.000  0.000  0.000
Ho  0.500  0.500  0.500
Mg  0.000  0.500  0.250
Mg  0.000  0.500  0.750
Mg  0.250  0.000  0.500
Mg  0.500  0.250  0.000
Mg  0.500  0.750  0.000
Mg  0.750  0.000  0.500

=====

LiHo2Mg6: optimized geometry, PBE.

Spin magnetization: 0.00 μB/f.u.
Raw total energy: -0.0854 Ha/atom
ΔE to the lowest computed polymorph: 0.000 eV per atom
Calculated formation energy: -31 meV/atom
D(E_F): 5.4 states/eV/cell

Lattice parameters (Å, degrees): 8.999 8.999 3.201 90.05 90.05 59.99
Sites, in units of the cell vectors:
Li  0.000  0.000  0.000
Ho  0.333  0.333  0.000
Ho  0.667  0.667  0.000
Mg  0.000  0.330  0.498
Mg  0.000  0.670  0.502
Mg  0.330  0.000  0.498
Mg  0.330  0.670  0.500
Mg  0.670  0.000  0.502
Mg  0.670  0.330  0.500

=====

LiHo2Mg: optimized geometry, PBE.

Spin magnetization: 0.00 μB/f.u.
Raw total energy: -0.1118 Ha/atom
ΔE to the lowest computed polymorph: 0.087 eV per atom
Calculated formation energy: 125 meV/atom
D(E_F): 3.8 states/eV/cell

Lattice parameters (Å, degrees): 3.350 3.350 11.266 98.43 98.43 60.03
Sites, in units of the cell vectors:
Li  0.000  0.000  0.000
Ho  0.416  0.416  0.248
Ho  0.584  0.584  0.753
Mg  0.167  0.167  0.500

=====

LiHoMg14: optimized geometry, PBE.

Spin magnetization: 0.00 μB/f.u.
Raw total energy: -0.0665 Ha/atom
Calculated formation energy: -8 meV/atom
D(E_F): 7.6 states/eV/cell

Lattice parameters (Å, degrees): 6.562 6.562 8.752 90.00 90.00 90.00
Sites, in units of the cell vectors:
Li  0.000  0.000  0.000
Ho  0.500  0.500  0.000
Mg  0.000  0.000  0.500
Mg  0.000  0.500  0.000
Mg  0.000  0.500  0.500
Mg  0.247  0.247  0.254
Mg  0.247  0.247  0.746
Mg  0.247  0.753  0.254
Mg  0.247  0.753  0.746
Mg  0.500  0.000  0.000
Mg  0.500  0.000  0.500
Mg  0.500  0.500  0.500
Mg  0.753  0.247  0.254
Mg  0.753  0.247  0.746
Mg  0.753  0.753  0.254
Mg  0.753  0.753  0.746